Entry from OQMD via LeMat-Bulk: an optimized crystal structure of KGd2 (PBE).

Lattice parameters (Å, degrees): 7.103 7.103 7.103 60.00 60.00 60.00
Site moments in Bohr magnetons follow the coordinates.
Positions (direct):
Gd 0.625 0.625 0.125  0.11
Gd 0.625 0.125 0.625  0.09
Gd 0.125 0.625 0.625  0.09
Gd 0.625 0.625 0.625  0.10
K 0.000 0.000 0.000  0.01
K 0.250 0.250 0.250  0.01

Calculated values
The total energy comes out at -0.107 Ha/atom. The magnetization is 0.365 μB/f.u. As for the symmetry: Fd-3m.